# PBE VInHPd2, optimized geometry
data_VInHPd2
_symmetry_space_group_name_H-M 'P 4/m m m'
_symmetry_Int_Tables_number 123
_symmetry_space_group_name_Hall '-P 4 2'
_cell_length_a 4.1336
_cell_length_b 4.1336
_cell_length_c 4.0265
_cell_angle_alpha 90.00
_cell_angle_beta 90.00
_cell_angle_gamma 90.00
loop_
_atom_site_label
_atom_site_fract_x
_atom_site_fract_y
_atom_site_fract_z
_atom_site_occupancy
V1 0.0000 0.0000 0.0000 1
In1 0.5000 0.5000 0.0000 1
H1 0.0000 0.0000 0.5000 1
Pd1 0.0000 0.5000 0.5000 1
# Total DFT energy (no corrections)   -0.194 Ha/atom
# Volume   13.76 Å³ per atom
# N(E_F)   3.4 states/eV/cell